No. 1
# LaTlSb2

LaTlSb2 at its PBEsol-relaxed geometry (meta-GGA SCAN, the Alexandria database).

a = 4.2102 Å, b = 4.2102 Å, c = 6.5127 Å
α = 90.00°, β = 90.00°, γ = 90.00°
With the nearest neighbours (Å) after each atom.
Element x y z (fractional)
La1 0.0000 0.0000 0.0000  2 Tl 3.26, 8 Sb 3.35
Tl1 0.0000 0.0000 0.5000  2 La 3.26, 8 Sb 3.44
Sb1 0.5000 0.5000 0.2365  2 Sb 3.08-3.43, 4 La 3.35, 4 Tl 3.44
Sb2 0.5000 0.5000 0.7635  2 Sb 3.08-3.43, 4 La 3.35, 4 Tl 3.44

Total moment, μB/f.u.: 0.0
Total energy, eV per atom: -48.131
Volume, Å³/cell: 115.44


No. 2
# HfSiMo

HfSiMo at its PBEsol-relaxed geometry (meta-GGA SCAN, the Alexandria database).

a = 6.8959 Å, b = 3.4522 Å, c = 8.1285 Å
α = 90.00°, β = 90.00°, γ = 90.00°
With the nearest neighbours (Å) after each atom.
Element x y z (fractional)
Hf1 0.0442 0.2500 0.1669  5 Si 2.71-2.87, 2 Mo 2.94
Hf2 0.4558 0.7500 0.6669  5 Si 2.71-2.87, 2 Mo 2.94
Hf3 0.5442 0.2500 0.3331  5 Si 2.71-2.87, 2 Mo 2.94
Hf4 0.9558 0.7500 0.8331  5 Si 2.71-2.87, 2 Mo 2.94
Si1 0.2439 0.7500 0.3626  4 Mo 2.49-2.67, 4 Hf 2.71-2.72
Si2 0.2561 0.2500 0.8626  4 Mo 2.49-2.67, 4 Hf 2.71-2.72
Si3 0.7439 0.7500 0.1374  4 Mo 2.49-2.67, 4 Hf 2.71-2.72
Si4 0.7561 0.2500 0.6374  4 Mo 2.49-2.67, 4 Hf 2.71-2.72
Mo1 0.1332 0.2500 0.5628  4 Si 2.49-2.67, 2 Mo 2.72
Mo2 0.3668 0.7500 0.0628  4 Si 2.49-2.67, 2 Mo 2.72
Mo3 0.6332 0.2500 0.9372  4 Si 2.49-2.67, 2 Mo 2.72
Mo4 0.8668 0.7500 0.4372  4 Si 2.49-2.67, 2 Mo 2.72

Total moment, μB/f.u.: 0.0
Total energy, eV per atom: -36.568
Volume, Å³/cell: 193.51


No. 3
# MnBe2As

MnBe2As at its PBEsol-relaxed geometry (meta-GGA SCAN, the Alexandria database).

a = 4.3966 Å, b = 4.3966 Å, c = 4.3966 Å
α = 135.17°, β = 135.17°, γ = 65.27°
With the nearest neighbours (Å) after each atom.
Element x y z (fractional)
Mn1 0.0000 0.0000 0.0000  4 As 2.37, 8 Be 2.50
Be1 0.2500 0.7500 0.5000  4 Be 2.37, 4 Mn 2.50, 4 As 2.50
Be2 0.7500 0.2500 0.5000  4 Be 2.37, 4 Mn 2.50, 4 As 2.50
As1 0.5000 0.5000 0.0000  4 Mn 2.37, 8 Be 2.50

Total moment, μB/f.u.: 1.7
Total energy, eV per atom: -11.814
Formation energy from the elements, meV per atom: -25.8
Volume, Å³/cell: 41.63


No. 4
# Ho2Sc3Si4

Ho2Sc3Si4 at its PBEsol-relaxed geometry (meta-GGA SCAN, the Alexandria database).

a = 6.9999 Å, b = 13.7861 Å, c = 7.2928 Å
α = 90.00°, β = 90.00°, γ = 90.00°
With the nearest neighbours (Å) after each atom.
Element x y z (fractional)
Ho1 0.0107 0.0963 0.1761  6 Si 2.89-3.01
Ho2 0.0107 0.4037 0.1761  6 Si 2.89-3.01
Ho3 0.4893 0.5963 0.6761  6 Si 2.89-3.01
Ho4 0.4893 0.9037 0.6761  6 Si 2.89-3.01
Ho5 0.5107 0.0963 0.3239  6 Si 2.89-3.01
Ho6 0.5107 0.4037 0.3239  6 Si 2.89-3.01
Ho7 0.9893 0.5963 0.8239  6 Si 2.89-3.01
Ho8 0.9893 0.9037 0.8239  6 Si 2.89-3.01
Sc1 0.1631 0.7500 0.5034  6 Si 2.73-2.98
Sc2 0.1693 0.1255 0.6765  6 Si 2.70-2.83
Sc3 0.1693 0.3745 0.6765  6 Si 2.70-2.83
Sc4 0.3307 0.6255 0.1765  6 Si 2.70-2.83
Sc5 0.3307 0.8745 0.1765  6 Si 2.70-2.83
Sc6 0.3369 0.2500 0.0034  6 Si 2.73-2.98
Sc7 0.6631 0.7500 0.9966  6 Si 2.73-2.98
Sc8 0.6693 0.1255 0.8235  6 Si 2.70-2.83
Sc9 0.6693 0.3745 0.8235  6 Si 2.70-2.83
Sc10 0.8307 0.6255 0.3235  6 Si 2.70-2.83
Sc11 0.8307 0.8745 0.3235  6 Si 2.70-2.83
Sc12 0.8369 0.2500 0.4966  6 Si 2.73-2.98
Si1 0.0338 0.7500 0.1135  1 Si 2.50, 5 Sc 2.70-2.73
Si2 0.1585 0.5388 0.4648  1 Si 2.52, 3 Sc 2.70-2.79
Si3 0.1585 0.9612 0.4648  1 Si 2.52, 3 Sc 2.70-2.79
Si4 0.2137 0.2500 0.3708  1 Si 2.50, 1 Sc 2.79
Si5 0.2863 0.7500 0.8708  1 Si 2.50, 1 Sc 2.79
Si6 0.3415 0.0388 0.9648  1 Si 2.52, 3 Sc 2.70-2.79
Si7 0.3415 0.4612 0.9648  1 Si 2.52, 3 Sc 2.70-2.79
Si8 0.4662 0.2500 0.6135  1 Si 2.50, 5 Sc 2.70-2.73
Si9 0.5338 0.7500 0.3865  1 Si 2.50, 5 Sc 2.70-2.73
Si10 0.6585 0.5388 0.0352  1 Si 2.52, 3 Sc 2.70-2.79
Si11 0.6585 0.9612 0.0352  1 Si 2.52, 3 Sc 2.70-2.79
Si12 0.7137 0.2500 0.1292  1 Si 2.50, 1 Sc 2.79
Si13 0.7863 0.7500 0.6292  1 Si 2.50, 1 Sc 2.79
Si14 0.8415 0.0388 0.5352  1 Si 2.52, 3 Sc 2.70-2.79
Si15 0.8415 0.4612 0.5352  1 Si 2.52, 3 Sc 2.70-2.79
Si16 0.9662 0.2500 0.8865  1 Si 2.50, 5 Sc 2.70-2.73

Total moment, μB/f.u.: 0.0
Total energy, eV per atom: -20.945
Volume, Å³/cell: 703.76


- Look up the total energy of the second one.
  -36.568 eV per atom